DFT (PBE-GGA) results for crystalline Pr2SnO at its relaxed geometry.

The calculation puts the formation energy without anion corrections at -1.60 eV per atom. For the total magnetization, the calculation gives 0.00 Bohr magnetons per cell.

The structure belongs to space group R-3m (No. 166, hexagonal axes); the cell edges are 3.7449, 3.7449 and 23.5661 Å and the angles 90.00°, 90.00° and 120.00°. The inequivalent atoms are Pr at (0.0000, 0.0000, 0.2254), Sn at (0.0000, 0.0000, 0.0000) and O at (0.0000, 0.0000, 0.5000).

---

DFT (PBE-GGA) results for crystalline Pr3SnO6 at its relaxed geometry.

The calculation puts the formation energy without anion corrections at -2.84 eV per atom. For the total magnetization, the calculation gives 0.00 Bohr magnetons per cell.

The structure belongs to space group R-3 (No. 148, hexagonal axes); the cell edges are 10.2220, 10.2220 and 11.5029 Å and the angles 90.00°, 90.00° and 120.00°. The inequivalent atoms are Pr at (0.0398, 0.7738, 0.2045), Sn at (0.0000, 0.0000, 0.0000), Sn at (0.0000, 0.0000, 0.5000), O at (0.0283, 0.8513, 0.8868) and O at (0.0340, 0.7970, 0.4066).

---

DFT (PBE-GGA) results for crystalline Pr2SnO at its relaxed geometry.

The calculation puts the formation energy without anion corrections at -1.80 eV per atom. For the total magnetization, the calculation gives 0.00 Bohr magnetons per cell.

The structure belongs to space group P4/nmm (No. 129, origin choice 2); the cell edges are 4.712, 4.712 and 9.266 Å and the angles 90.00°, 90.00° and 90.00°. The inequivalent atoms are Pr at (0.250, 0.250, 0.163), Pr at (0.250, 0.750, 0.500), Sn at (0.250, 0.250, 0.797) and O at (0.250, 0.250, 0.421).

---

DFT (PBE-GGA) results for crystalline Pr3Sn2O at its relaxed geometry.

The calculation puts the formation energy without anion corrections at -1.31 eV per atom. For the total magnetization, the calculation gives 0.00 Bohr magnetons per cell.

The structure belongs to space group Cmcm (No. 63); the cell edges are 10.744, 8.956 and 6.865 Å and the angles 90.00°, 90.00° and 90.00°. The inequivalent atoms are Pr at (0.000, 0.158, 0.250), Pr at (0.162, 0.500, 0.000), Sn at (0.137, 0.187, 0.750) and O at (0.000, 0.421, 0.250).

---

DFT (PBE-GGA) results for crystalline Pr3Sn5O12 at its relaxed geometry.

The calculation puts the formation energy without anion corrections at -2.00 eV per atom. For the total magnetization, the calculation gives 0.00 Bohr magnetons per cell.

The structure belongs to space group Ia-3d (No. 230); the cell edges are 13.639, 13.639 and 13.639 Å and the angles 90.00°, 90.00° and 90.00°. The inequivalent atoms are Pr at (0.000, 0.250, 0.125), Sn at (0.000, 0.000, 0.000), Sn at (0.000, 0.250, 0.375) and O at (0.018, 0.058, 0.645).

---

DFT (PBE-GGA) results for crystalline Pr6Sn3O at its relaxed geometry.

The calculation puts the formation energy without anion corrections at -0.92 eV per atom. For the total magnetization, the calculation gives 4.02 Bohr magnetons per cell.

The structure belongs to space group Cmc2_1 (No. 36); the cell edges are 12.268, 15.154 and 7.311 Å and the angles 90.00°, 90.00° and 90.00°. The inequivalent atoms are Pr at (0.000, 0.050, 0.000), Pr at (0.000, 0.225, 0.432), Pr at (0.155, 0.262, 0.968), Pr at (0.161, 0.473, 0.442), Sn at (0.000, 0.384, 0.733), Sn at (0.170, 0.107, 0.663) and O at (0.000, 0.198, 0.113).

---

DFT (PBE-GGA) results for crystalline SrPr2SnO6 at its relaxed geometry.

The calculation puts the formation energy without anion corrections at -2.70 eV per atom. For the total magnetization, the calculation gives 0.00 Bohr magnetons per cell.

The structure belongs to space group R3 (No. 146, hexagonal axes); the cell edges are 6.0029, 6.0029 and 15.4736 Å and the angles 90.00°, 90.00° and 120.00°. The inequivalent atoms are Sr at (0.0000, 0.0000, 0.0000), Pr at (0.0000, 0.0000, 0.2716), Pr at (0.0000, 0.0000, 0.7753), Sn at (0.0000, 0.0000, 0.4868), O at (0.0005, 0.7310, 0.3953) and O at (0.0061, 0.3794, 0.2190).

---

Repeat the fifth record exactly.
DFT (PBE-GGA) results for crystalline Pr3Sn5O12 at its relaxed geometry.

The calculation puts the formation energy without anion corrections at -2.00 eV per atom. For the total magnetization, the calculation gives 0.00 Bohr magnetons per cell.

The structure belongs to space group Ia-3d (No. 230); the cell edges are 13.639, 13.639 and 13.639 Å and the angles 90.00°, 90.00° and 90.00°. The inequivalent atoms are Pr at (0.000, 0.250, 0.125), Sn at (0.000, 0.000, 0.000), Sn at (0.000, 0.250, 0.375) and O at (0.018, 0.058, 0.645).